The following is a DFT calculation (PBE) of a geometry-optimized LiCuRu2 structure.

Formation energy ... 0.322 eV/atom
Symmetry ... No. 139
E above lowest polymorph ... 0.1833 eV/atom

The structure in POSCAR format:
```
LiCuRu2
1.0
-4.0041 -2.6712 0.2251
-1.3068 -1.5410 4.3745
1.2713 4.2084 -1.9727
Cu Li Ru
1 1 2
direct
0.2500 0.7500 0.5000 Cu
0.7500 0.2500 0.5000 Li
0.0000 0.0000 0.0000 Ru
0.5000 0.5000 0.0000 Ru
```